No. 1
Here is Hf2CoTc2 after structural relaxation from Alexandria via LeMat-Bulk. Energies are from GGA-PBE.

abc: 6.450 6.450 4.163
angles: 90.00 90.00 90.00
Atoms (fractional coordinates):
Hf: 0.177 0.323 0.000
Hf: 0.323 0.823 0.000
Hf: 0.677 0.177 0.000
Hf: 0.823 0.677 0.000
Co: 0.000 0.000 0.500
Co: 0.500 0.500 0.500
Tc: 0.138 0.638 0.500
Tc: 0.362 0.138 0.500
Tc: 0.638 0.862 0.500
Tc: 0.862 0.362 0.500

Summary:
Calculated total energy   -9.598 eV per atom
Crystal system   tetragonal
Energy of formation from the pure elements   -0.2 eV/f.u.

No. 2
Here is TaNi3H3 after structural relaxation from Alexandria via LeMat-Bulk. Energies are from GGA-PBE.

abc: 4.901 4.901 4.901
angles: 81.19 81.19 81.19
Atoms (fractional coordinates):
Ta: 0.150 0.150 0.150
Ta: 0.850 0.850 0.850
Ni: 0.175 0.355 0.638
Ni: 0.355 0.638 0.175
Ni: 0.362 0.825 0.645
Ni: 0.638 0.175 0.355
Ni: 0.645 0.362 0.825
Ni: 0.825 0.645 0.362
H: 0.112 0.752 0.458
H: 0.248 0.542 0.888
H: 0.458 0.112 0.752
H: 0.542 0.888 0.248
H: 0.752 0.458 0.112
H: 0.888 0.248 0.542

Summary:
Calculated total energy   -5.685 eV per atom
Crystal system   trigonal